Entry 1:
# Ca2SbO, relaxed, DFT GGA-PBE
data_Ca2SbO
_chemical_formula_sum 'Ca6 Sb3 O3'
_cell_length_a 3.6596
_cell_length_b 3.6596
_cell_length_c 22.0599
_cell_angle_alpha 90.00
_cell_angle_beta 90.00
_cell_angle_gamma 120.00
_symmetry_space_group_name_H-M 'R -3 m'
_symmetry_Int_Tables_number 166
_symmetry_space_group_name_Hall '-R 3 2"'
loop_
_atom_site_label
_atom_site_fract_x
_atom_site_fract_y
_atom_site_fract_z
Ca1 0.0000 0.0000 0.2271
Sb1 0.0000 0.0000 0.0000
O1 0.0000 0.0000 0.5000
# Total energy: -4.998 eV/atom
# Energy above the lowest structure with this stoichiometry: 119.9 meV/atom
# Formation energy without anion corrections: -1727 meV per atom
# Total moment: 0.00 μB/cell


Entry 2:
# Cs3InS, relaxed, DFT GGA-PBE
data_Cs3InS
_chemical_formula_sum 'Cs3 In1 S1'
_cell_length_a 6.780
_cell_length_b 6.780
_cell_length_c 6.780
_cell_angle_alpha 90.00
_cell_angle_beta 90.00
_cell_angle_gamma 90.00
_symmetry_space_group_name_H-M 'P m -3 m'
_symmetry_Int_Tables_number 221
_symmetry_space_group_name_Hall '-P 4 2 3'
loop_
_atom_site_label
_atom_site_fract_x
_atom_site_fract_y
_atom_site_fract_z
Cs1 0.000 0.000 0.500
In1 0.500 0.500 0.500
S1 0.000 0.000 0.000
# Total energy: -2.240 eV/atom
# Energy above the lowest structure with this stoichiometry: 0.0 meV/atom
# Formation energy without anion corrections: -355 meV per atom
# Total moment: 1.94 μB/cell


Entry 3:
# K2HfSiSb, relaxed, DFT GGA-PBE
data_K2HfSiSb
_chemical_formula_sum 'K2 Hf1 Si1 Sb1'
_cell_length_a 5.929
_cell_length_b 5.929
_cell_length_c 5.119
_cell_angle_alpha 90.00
_cell_angle_beta 90.00
_cell_angle_gamma 90.00
_symmetry_space_group_name_H-M 'P 4/m m m'
_symmetry_Int_Tables_number 123
_symmetry_space_group_name_Hall '-P 4 2'
loop_
_atom_site_label
_atom_site_fract_x
_atom_site_fract_y
_atom_site_fract_z
K1 0.000 0.500 0.000
Hf1 0.000 0.000 0.500
Si1 0.000 0.000 0.000
Sb1 0.500 0.500 0.500
# Total energy: -3.744 eV/atom
# Formation energy without anion corrections: 595 meV per atom
# Total moment: 0.19 μB/cell


Entry 4:
# PrPu2Ge2Pd7, relaxed, DFT GGA-PBE
data_PrPu2Ge2Pd7
_chemical_formula_sum 'Pr2 Pu4 Ge4 Pd14'
_cell_length_a 5.853
_cell_length_b 5.768
_cell_length_c 14.169
_cell_angle_alpha 90.00
_cell_angle_beta 98.19
_cell_angle_gamma 90.00
_symmetry_space_group_name_H-M 'C 1 2/m 1'
_symmetry_Int_Tables_number 12
loop_
_symmetry_equiv_pos_as_xyz
'x,y,z'
'-x,-y,-z'
'-x,y,-z'
'x,-y,z'
'x+1/2,y+1/2,z'
'-x+1/2,-y+1/2,-z'
'-x+1/2,y+1/2,-z'
'x+1/2,-y+1/2,z'
loop_
_atom_site_label
_atom_site_fract_x
_atom_site_fract_y
_atom_site_fract_z
Pr1 0.000 0.000 0.000
Pu1 0.116 0.000 0.360
Ge1 0.089 0.500 0.259
Pd1 0.000 0.500 0.000
Pd2 0.152 0.500 0.437
Pd3 0.196 0.250 0.841
# ΔH_f (0 K): -0.59 eV per atom
# Total energy: -7.174 eV/atom
# Total moment: 22.62 μB/cell


Entry 5:
# SrZrBi3, relaxed, DFT GGA-PBE
data_SrZrBi3
_chemical_formula_sum 'Sr4 Zr4 Bi12'
_cell_length_a 14.615
_cell_length_b 6.562
_cell_length_c 6.763
_cell_angle_alpha 90.00
_cell_angle_beta 90.00
_cell_angle_gamma 90.00
_symmetry_space_group_name_H-M 'P b c m'
_symmetry_Int_Tables_number 57
loop_
_symmetry_equiv_pos_as_xyz
'x,y,z'
'-x,-y,-z'
'-x,-y,z+1/2'
'x,y,-z+1/2'
'x,-y+1/2,-z'
'-x,y+1/2,z'
'-x,y+1/2,-z+1/2'
'x,-y+1/2,z+1/2'
loop_
_atom_site_label
_atom_site_fract_x
_atom_site_fract_y
_atom_site_fract_z
Sr1 0.185 0.017 0.250
Zr1 0.410 0.750 0.000
Bi1 0.006 0.750 0.000
Bi2 0.276 0.508 0.250
Bi3 0.426 0.131 0.250
# ΔH_f (0 K): -0.46 eV per atom
# Total energy: -4.838 eV/atom
# Energy above the lowest structure with this stoichiometry: 0.0 meV/atom
# Total moment: 0.00 μB/cell


Entry 6:
# TbPm2O, relaxed, DFT GGA-PBE
data_TbPm2O
_chemical_formula_sum 'Tb3 Pm6 O3'
_cell_length_a 3.6383
_cell_length_b 3.6383
_cell_length_c 26.7384
_cell_angle_alpha 90.00
_cell_angle_beta 90.00
_cell_angle_gamma 120.00
_symmetry_space_group_name_H-M 'R -3 m'
_symmetry_Int_Tables_number 166
_symmetry_space_group_name_Hall '-R 3 2"'
loop_
_atom_site_label
_atom_site_fract_x
_atom_site_fract_y
_atom_site_fract_z
Tb1 0.0000 0.0000 0.0000
Pm1 0.0000 0.0000 0.2190
O1 0.0000 0.0000 0.5000
# Total energy: -6.036 eV/atom
# Energy above the lowest structure with this stoichiometry: 0.0 meV/atom
# Formation energy without anion corrections: -1264 meV per atom
# Total moment: 0.00 μB/cell


Entry 7:
# Ta14ReOs, relaxed, DFT GGA-PBE
data_Ta14ReOs
_chemical_formula_sum 'Ta28 Re2 Os2'
_cell_length_a 6.547
_cell_length_b 9.316
_cell_length_c 9.281
_cell_angle_alpha 90.00
_cell_angle_beta 90.00
_cell_angle_gamma 90.00
_symmetry_space_group_name_H-M 'C m m m'
_symmetry_Int_Tables_number 65
_symmetry_space_group_name_Hall '-C 2 2'
loop_
_atom_site_label
_atom_site_fract_x
_atom_site_fract_y
_atom_site_fract_z
Ta1 0.000 0.000 0.000
Ta2 0.000 0.250 0.249
Ta3 0.000 0.500 0.000
Ta4 0.249 0.000 0.260
Ta5 0.250 0.250 0.000
Ta6 0.250 0.250 0.500
Re1 0.000 0.000 0.500
Os1 0.000 0.500 0.500
# ΔH_f (0 K): -0.14 eV per atom
# Total energy: -11.986 eV/atom
# Total moment: 0.00 μB/cell


Entry 8:
# CrCo3S, relaxed, DFT GGA-PBE
data_CrCo3S
_chemical_formula_sum 'Cr1 Co3 S1'
_cell_length_a 4.051
_cell_length_b 4.051
_cell_length_c 4.051
_cell_angle_alpha 90.00
_cell_angle_beta 90.00
_cell_angle_gamma 90.00
_symmetry_space_group_name_H-M 'P m -3 m'
_symmetry_Int_Tables_number 221
_symmetry_space_group_name_Hall '-P 4 2 3'
loop_
_atom_site_label
_atom_site_fract_x
_atom_site_fract_y
_atom_site_fract_z
Cr1 0.000 0.000 0.000
Co1 0.000 0.500 0.500
S1 0.500 0.500 0.500
# Total energy: -6.327 eV/atom
# Energy above the lowest structure with this stoichiometry: 0.0 meV/atom
# Formation energy without anion corrections: 687 meV per atom
# Total moment: 2.68 μB/cell


Entry 9:
# CoH6PdPb2, relaxed, DFT GGA-PBE
data_CoH6PdPb2
_chemical_formula_sum 'Co2 H12 Pd2 Pb4'
_cell_length_a 6.945
_cell_length_b 6.903
_cell_length_c 5.701
_cell_angle_alpha 90.00
_cell_angle_beta 127.04
_cell_angle_gamma 90.00
_symmetry_space_group_name_H-M 'C 1 m 1'
_symmetry_Int_Tables_number 8
loop_
_symmetry_equiv_pos_as_xyz
'x,y,z'
'x,-y,z'
'x+1/2,y+1/2,z'
'x+1/2,-y+1/2,z'
loop_
_atom_site_label
_atom_site_fract_x
_atom_site_fract_y
_atom_site_fract_z
Co1 0.000 0.000 0.000
H1 0.034 0.234 0.065
H2 0.171 0.000 0.335
H3 0.263 0.000 0.059
H4 0.300 0.500 0.067
H5 0.328 0.500 0.651
Pd1 0.008 0.500 0.013
Pb1 0.057 0.249 0.605
# Total energy: -3.859 eV/atom
# Total moment: 0.00 μB/cell


Entry 10:
# Sc2TlC, relaxed, DFT GGA-PBE
data_Sc2TlC
_chemical_formula_sum 'Sc8 Tl4 C4'
_cell_length_a 6.661
_cell_length_b 6.661
_cell_length_c 6.661
_cell_angle_alpha 90.00
_cell_angle_beta 90.00
_cell_angle_gamma 90.00
_symmetry_space_group_name_H-M 'F m -3 m'
_symmetry_Int_Tables_number 225
_symmetry_space_group_name_Hall '-F 4 2 3'
loop_
_atom_site_label
_atom_site_fract_x
_atom_site_fract_y
_atom_site_fract_z
Sc1 0.250 0.250 0.250
Tl1 0.000 0.000 0.000
C1 0.000 0.000 0.500
# ΔH_f (0 K): 0.66 eV per atom
# Total energy: -5.403 eV/atom
# Energy above the lowest structure with this stoichiometry: 1168.5 meV/atom
# Total moment: 0.00 μB/cell


Entry 11:
# Sb5Pd3Au, relaxed, DFT GGA-PBE
data_Sb5Pd3Au
_chemical_formula_sum 'Sb20 Pd12 Au4'
_cell_length_a 12.113
_cell_length_b 8.423
_cell_length_c 10.389
_cell_angle_alpha 90.00
_cell_angle_beta 124.80
_cell_angle_gamma 90.00
_symmetry_space_group_name_H-M 'C 1 2/m 1'
_symmetry_Int_Tables_number 12
loop_
_symmetry_equiv_pos_as_xyz
'x,y,z'
'-x,-y,-z'
'-x,y,-z'
'x,-y,z'
'x+1/2,y+1/2,z'
'-x+1/2,-y+1/2,-z'
'-x+1/2,y+1/2,-z'
'x+1/2,-y+1/2,z'
loop_
_atom_site_label
_atom_site_fract_x
_atom_site_fract_y
_atom_site_fract_z
Sb1 0.000 0.191 0.000
Sb2 0.022 0.000 0.304
Sb3 0.167 0.246 0.566
Sb4 0.188 0.500 0.935
Pd1 0.000 0.500 0.000
Pd2 0.000 0.500 0.500
Pd3 0.203 0.000 0.226
Pd4 0.220 0.000 0.765
Au1 0.087 0.500 0.307
# Total energy: -4.497 eV/atom
# Formation energy without anion corrections: -112 meV per atom
# Total moment: 0.00 μB/cell


Entry 12:
# CsHfP2Cl, relaxed, DFT GGA-PBE
data_CsHfP2Cl
_chemical_formula_sum 'Cs1 Hf1 P2 Cl1'
_cell_length_a 5.383
_cell_length_b 5.383
_cell_length_c 5.551
_cell_angle_alpha 90.00
_cell_angle_beta 90.00
_cell_angle_gamma 90.00
_symmetry_space_group_name_H-M 'P 4/m m m'
_symmetry_Int_Tables_number 123
_symmetry_space_group_name_Hall '-P 4 2'
loop_
_atom_site_label
_atom_site_fract_x
_atom_site_fract_y
_atom_site_fract_z
Cs1 0.000 0.000 0.000
Hf1 0.500 0.500 0.500
P1 0.000 0.500 0.000
Cl1 0.000 0.000 0.500
# Total energy: -3.063 eV/atom
# Energy above the lowest structure with this stoichiometry: 2326.7 meV/atom
# Formation energy without anion corrections: 1631 meV per atom
# Total moment: 0.00 μB/cell


- What is the formula in the second record?
  Cs3InS


What did the seventh record say?
# Ta14ReOs, relaxed, DFT GGA-PBE
data_Ta14ReOs
_chemical_formula_sum 'Ta28 Re2 Os2'
_cell_length_a 6.547
_cell_length_b 9.316
_cell_length_c 9.281
_cell_angle_alpha 90.00
_cell_angle_beta 90.00
_cell_angle_gamma 90.00
_symmetry_space_group_name_H-M 'C m m m'
_symmetry_Int_Tables_number 65
_symmetry_space_group_name_Hall '-C 2 2'
loop_
_atom_site_label
_atom_site_fract_x
_atom_site_fract_y
_atom_site_fract_z
Ta1 0.000 0.000 0.000
Ta2 0.000 0.250 0.249
Ta3 0.000 0.500 0.000
Ta4 0.249 0.000 0.260
Ta5 0.250 0.250 0.000
Ta6 0.250 0.250 0.500
Re1 0.000 0.000 0.500
Os1 0.000 0.500 0.500
# ΔH_f (0 K): -0.14 eV per atom
# Total energy: -11.986 eV/atom
# Total moment: 0.00 μB/cell